{"formula": "NiHRh3", "functional": "PBE", "state": "optimized geometry", "cell": [[4.4382, -2.7219, 0.0000], [4.4382, 2.7219, 0.0000], [-0.0290, 0.0000, 4.7179]], "species": ["Ni", "Ni", "H", "H", "Rh", "Rh", "Rh", "Rh", "Rh", "Rh"], "fractional_positions": [[0.0000, 0.0000, 0.0000], [0.2437, 0.2437, 0.6745], [0.3574, 0.3574, 0.3728], [0.6317, 0.6317, 0.3373], [0.0018, 0.4967, 0.1559], [0.2410, 0.7570, 0.5077], [0.4967, 0.0018, 0.1559], [0.4974, 0.4974, 0.9909], [0.7528, 0.7528, 0.6750], [0.7570, 0.2410, 0.5077]], "crystal_system": "monoclinic", "sg": "No. 8", "de_polymorph_mev_per_atom": 18}